Entry 1:
Material: ThCo4Ag
Method: DFT, GGA-PBE
State: relaxed

Lattice parameters (Å, degrees): 5.0452 5.0452 5.0452 60.00 60.00 60.00
Fractional positions:
Th 0.0000 0.0000 0.0000
Co 0.1262 0.6246 0.6246
Co 0.6246 0.1262 0.6246
Co 0.6246 0.6246 0.1262
Co 0.6246 0.6246 0.6246
Ag 0.2500 0.2500 0.2500

Computed properties:
- Space group: F-43m
- Uncorrected energy: -6.480 eV/atom

***

Entry 2:
Material: ThCoAg
Method: DFT, GGA-PBE
State: relaxed

Lattice parameters (Å, degrees): 4.9346 4.9346 7.3898 101.68 101.68 47.59
Fractional positions:
Th 0.1170 0.1170 0.3257
Th 0.8830 0.8830 0.6743
Co 0.1922 0.1922 0.7128
Co 0.8078 0.8078 0.2872
Ag 0.3646 0.3646 0.0626
Ag 0.6354 0.6354 0.9374

Computed properties:
- Space group: C2/m
- Uncorrected energy: -5.815 eV/atom

***

Entry 3:
Material: Th4Co2Ag5
Method: DFT, GGA-PBE
State: relaxed

Lattice parameters (Å, degrees): 7.4846 3.7078 9.1338 90.00 94.87 90.00
Fractional positions:
Th 0.1872 0.0000 0.3421
Th 0.2181 0.0000 0.9339
Th 0.7819 0.0000 0.0661
Th 0.8128 0.0000 0.6579
Co 0.0740 0.5000 0.1412
Co 0.9260 0.5000 0.8588
Ag 0.1721 0.5000 0.6387
Ag 0.4595 0.5000 0.1719
Ag 0.5000 0.5000 0.5000
Ag 0.5405 0.5000 0.8281
Ag 0.8279 0.5000 0.3613

Computed properties:
- Space group: P2/m
- Uncorrected energy: -5.458 eV/atom

***

Entry 4:
Material: ThCoAg
Method: DFT, GGA-PBE
State: relaxed

Lattice parameters (Å, degrees): 8.8529 8.8529 3.7751 90.00 90.00 155.84
Fractional positions:
Th 0.0948 0.9052 0.7500
Th 0.9052 0.0948 0.2500
Co 0.4497 0.5503 0.7500
Co 0.5503 0.4497 0.2500
Ag 0.2874 0.7126 0.7500
Ag 0.7126 0.2874 0.2500

Computed properties:
- Space group: Cmcm
- Uncorrected energy: -6.054 eV/atom

***

Entry 5:
Material: YThCoAg
Method: DFT, GGA-PBE
State: relaxed

Lattice parameters (Å, degrees): 5.0459 5.0459 5.0459 60.00 60.00 60.00
Fractional positions:
Y 0.0000 0.0000 0.0000
Th 0.5000 0.5000 0.5000
Co 0.7500 0.7500 0.7500
Ag 0.2500 0.2500 0.2500

Computed properties:
- Space group: F-43m
- Uncorrected energy: -6.043 eV/atom

***

Entry 6:
Material: Th2ZnCoAg
Method: DFT, GGA-PBE
State: relaxed

Lattice parameters (Å, degrees): 7.8015 3.9103 7.9979 90.00 113.30 90.00
Fractional positions:
Th 0.0072 0.2500 0.2186
Th 0.3514 0.7500 0.6094
Th 0.6486 0.2500 0.3906
Th 0.9928 0.7500 0.7814
Zn 0.3601 0.2500 0.9383
Zn 0.6399 0.7500 0.0617
Co 0.1077 0.2500 0.6092
Co 0.8923 0.7500 0.3908
Ag 0.3172 0.7500 0.1721
Ag 0.6828 0.2500 0.8279

Computed properties:
- Space group: P2_1/m
- Uncorrected energy: -5.459 eV/atom

***

Entry 7:
Material: TiCo4Ag
Method: DFT, GGA-PBE
State: relaxed

Lattice parameters (Å, degrees): 4.7739 4.7739 4.7739 60.00 60.00 60.00
Fractional positions:
Ti 0.0000 0.0000 0.0000
Co 0.1245 0.6252 0.6252
Co 0.6252 0.1245 0.6252
Co 0.6252 0.6252 0.1245
Co 0.6252 0.6252 0.6252
Ag 0.2500 0.2500 0.2500

Computed properties:
- Space group: F-43m
- Uncorrected energy: -6.576 eV/atom

***

Entry 8:
Material: TiCoAg
Method: DFT, GGA-PBE
State: relaxed

Lattice parameters (Å, degrees): 6.4549 6.4549 6.4549 39.09 39.09 39.09
Fractional positions:
Ti 0.0924 0.0924 0.0924
Ti 0.9076 0.9076 0.9076
Co 0.2149 0.2149 0.2149
Co 0.7851 0.7851 0.7851
Ag 0.3694 0.3694 0.3694
Ag 0.6306 0.6306 0.6306

Computed properties:
- Space group: R-3m
- Uncorrected energy: -5.702 eV/atom